Eu2MoN: optimized geometry, PBE-GGA.

Computed properties:
**Uncorrected formation energy**: 0.31 eV/atom

Cell: 3.2938 3.2938 26.9442 Å, 90.00 90.00 120.00°
Space group R-3m (No. 166, hexagonal axes)
Unique sites:
Eu 0.0000 0.0000 0.1120 [6 per cell]
Mo 0.0000 0.0000 0.0000 [3 per cell]
N 0.0000 0.0000 0.5000 [3 per cell]


EuMoN2: optimized geometry, PBE-GGA.

Computed properties:
**Uncorrected formation energy**: -0.12 eV/atom

Cell: 2.798 2.798 5.950 Å, 90.00 90.00 90.00°
Space group P4/mmm (No. 123)
Unique sites:
Eu 0.000 0.000 0.000 [1 per cell]
Mo 0.000 0.000 0.500 [1 per cell]
N 0.500 0.500 0.296 [2 per cell]